# PBE-GGA Sm3AgSe6, relaxed
# symmetry	P-1
# energy	-51.2	eV per cell
# M_tot	0.0	μB/cell
data_Sm3AgSe6
_cell_length_a 4.4503
_cell_length_b 7.2542
_cell_length_c 8.8633
_cell_angle_alpha 90.42
_cell_angle_beta 101.51
_cell_angle_gamma 98.90
_symmetry_space_group_name_H-M 'P 1'
_symmetry_Int_Tables_number 1
loop_
_symmetry_equiv_pos_as_xyz
'x,y,z'
loop_
_atom_site_label
_atom_site_fract_x
_atom_site_fract_y
_atom_site_fract_z
Sm1 0.0000 0.0000 0.0000
Sm2 0.3494 0.4477 0.7233
Sm3 0.6506 0.5523 0.2767
Ag1 0.0000 0.0000 0.5000
Se1 0.1410 0.3205 0.3880
Se2 0.2150 0.8362 0.2948
Se3 0.4297 0.7303 0.9788
Se4 0.5703 0.2697 0.0212
Se5 0.7850 0.1638 0.7052
Se6 0.8590 0.6795 0.6120

# PBE-GGA Tm2H2BrClO2, relaxed
# symmetry	P3m1
# energy	-42.0	eV per cell
# M_tot	1.7	μB/cell
data_Tm2H2BrClO2
_cell_length_a 3.8291
_cell_length_b 3.8291
_cell_length_c 9.7948
_cell_angle_alpha 90.00
_cell_angle_beta 90.00
_cell_angle_gamma 120.00
_symmetry_space_group_name_H-M 'P 1'
_symmetry_Int_Tables_number 1
loop_
_symmetry_equiv_pos_as_xyz
'x,y,z'
loop_
_atom_site_label
_atom_site_fract_x
_atom_site_fract_y
_atom_site_fract_z
Tm1 0.0000 0.0000 0.0000
Tm2 0.3333 0.6667 0.4765
H1 0.6667 0.3333 0.3103
H2 0.6667 0.3333 0.8318
Br1 0.0000 0.0000 0.6775
Cl1 0.3333 0.6667 0.1777
O1 0.6667 0.3333 0.4108
O2 0.6667 0.3333 0.9320

# PBE-GGA HfBeOs2, relaxed
# symmetry	F-43m
# energy	-35.6	eV per cell
# M_tot	0.1	μB/cell
data_HfBeOs2
_cell_length_a 4.3817
_cell_length_b 4.3817
_cell_length_c 4.3817
_cell_angle_alpha 60.00
_cell_angle_beta 60.00
_cell_angle_gamma 60.00
_symmetry_space_group_name_H-M 'P 1'
_symmetry_Int_Tables_number 1
loop_
_symmetry_equiv_pos_as_xyz
'x,y,z'
loop_
_atom_site_label
_atom_site_fract_x
_atom_site_fract_y
_atom_site_fract_z
Hf1 0.0000 0.0000 0.0000
Be1 0.7500 0.7500 0.7500
Os1 0.2500 0.2500 0.2500
Os2 0.5000 0.5000 0.5000

# PBE-GGA TaAgO2F2, relaxed
# symmetry	P2_1
# energy	-84.0	eV per cell
# M_tot	0.0	μB/cell
data_TaAgO2F2
_cell_length_a 6.3477
_cell_length_b 3.7887
_cell_length_c 7.1031
_cell_angle_alpha 90.00
_cell_angle_beta 104.82
_cell_angle_gamma 90.00
_symmetry_space_group_name_H-M 'P 1'
_symmetry_Int_Tables_number 1
loop_
_symmetry_equiv_pos_as_xyz
'x,y,z'
loop_
_atom_site_label
_atom_site_fract_x
_atom_site_fract_y
_atom_site_fract_z
Ta1 0.1289 0.0000 0.1972
Ta2 0.8711 0.5000 0.8028
Ag1 0.4149 0.9988 0.7372
Ag2 0.5851 0.4988 0.2628
O1 0.0823 0.4999 0.1213
O2 0.3218 0.0007 0.4259
O3 0.6782 0.5007 0.5741
O4 0.9177 0.9999 0.8787
F1 0.1333 0.4995 0.7107
F2 0.3626 0.9994 0.0517
F3 0.6374 0.4994 0.9483
F4 0.8667 0.9995 0.2893

# PBE-GGA RbDySiTe3, relaxed
# symmetry	Cmcm
# energy	-49.7	eV per cell
# M_tot	0.0	μB/cell
data_RbDySiTe3
_cell_length_a 8.1933
_cell_length_b 8.1933
_cell_length_c 11.9843
_cell_angle_alpha 90.00
_cell_angle_beta 90.00
_cell_angle_gamma 146.23
_symmetry_space_group_name_H-M 'P 1'
_symmetry_Int_Tables_number 1
loop_
_symmetry_equiv_pos_as_xyz
'x,y,z'
loop_
_atom_site_label
_atom_site_fract_x
_atom_site_fract_y
_atom_site_fract_z
Rb1 0.2491 0.7509 0.7500
Rb2 0.7509 0.2491 0.2500
Dy1 0.5000 0.5000 0.0000
Dy2 0.5000 0.5000 0.5000
Si1 0.0345 0.9655 0.2500
Si2 0.9655 0.0345 0.7500
Te1 0.1255 0.8745 0.0519
Te2 0.1255 0.8745 0.4481
Te3 0.4454 0.5546 0.2500
Te4 0.5546 0.4454 0.7500
Te5 0.8745 0.1255 0.5519
Te6 0.8745 0.1255 0.9481

# PBE-GGA BeTcSn, relaxed
# offset from the most stable computed form	0	meV/atom
# symmetry	F-43m
# M_tot	0.0	μB/cell
data_BeTcSn
_cell_length_a 4.0411
_cell_length_b 4.0411
_cell_length_c 4.0411
_cell_angle_alpha 60.00
_cell_angle_beta 60.00
_cell_angle_gamma 60.00
_symmetry_space_group_name_H-M 'P 1'
_symmetry_Int_Tables_number 1
loop_
_symmetry_equiv_pos_as_xyz
'x,y,z'
loop_
_atom_site_label
_atom_site_fract_x
_atom_site_fract_y
_atom_site_fract_z
Be1 0.0000 0.0000 0.0000
Tc1 0.2500 0.2500 0.2500
Sn1 0.7500 0.7500 0.7500

# PBE-GGA GdYGa2Ir4, relaxed
# symmetry	P-6m2
# energy	-57.0	eV per cell
# M_tot	0.1	μB/cell
data_GdYGa2Ir4
_cell_length_a 4.3486
_cell_length_b 4.3486
_cell_length_c 9.0856
_cell_angle_alpha 90.00
_cell_angle_beta 90.00
_cell_angle_gamma 120.00
_symmetry_space_group_name_H-M 'P 1'
_symmetry_Int_Tables_number 1
loop_
_symmetry_equiv_pos_as_xyz
'x,y,z'
loop_
_atom_site_label
_atom_site_fract_x
_atom_site_fract_y
_atom_site_fract_z
Gd1 0.0000 0.0000 0.0000
Y1 0.6667 0.3333 0.5000
Ga1 0.3333 0.6667 0.2516
Ga2 0.3333 0.6667 0.7484
Ir1 0.0000 0.0000 0.3312
Ir2 0.0000 0.0000 0.6688
Ir3 0.6667 0.3333 0.1719
Ir4 0.6667 0.3333 0.8281

# PBE-GGA Pr5Al, relaxed
# symmetry	P6/mmm
# energy	-24.5	eV per cell
# M_tot	0.9	μB/cell
data_Pr5Al
_cell_length_a 6.4338
_cell_length_b 6.4338
_cell_length_c 5.9783
_cell_angle_alpha 90.00
_cell_angle_beta 90.00
_cell_angle_gamma 120.00
_symmetry_space_group_name_H-M 'P 1'
_symmetry_Int_Tables_number 1
loop_
_symmetry_equiv_pos_as_xyz
'x,y,z'
loop_
_atom_site_label
_atom_site_fract_x
_atom_site_fract_y
_atom_site_fract_z
Pr1 0.0000 0.5000 0.0000
Pr2 0.3333 0.6667 0.5000
Pr3 0.5000 0.0000 0.0000
Pr4 0.5000 0.5000 0.0000
Pr5 0.6667 0.3333 0.5000
Al1 0.0000 0.0000 0.5000

# PBE-GGA Gd8Se15, relaxed
# symmetry	Amm2
# energy	-384.2	eV per cell
# M_tot	0.0	μB/cell
data_Gd8Se15
_cell_length_a 12.1962
_cell_length_b 11.6564
_cell_length_c 11.6564
_cell_angle_alpha 88.30
_cell_angle_beta 90.00
_cell_angle_gamma 90.00
_symmetry_space_group_name_H-M 'P 1'
_symmetry_Int_Tables_number 1
loop_
_symmetry_equiv_pos_as_xyz
'x,y,z'
loop_
_atom_site_label
_atom_site_fract_x
_atom_site_fract_y
_atom_site_fract_z
Gd1 0.0000 0.0000 0.0000
Gd2 0.0000 0.2636 0.7648
Gd3 0.0000 0.5299 0.5299
Gd4 0.0000 0.7648 0.2636
Gd5 0.1658 0.1716 0.4148
Gd6 0.1658 0.4148 0.1716
Gd7 0.1692 0.6529 0.9123
Gd8 0.1692 0.9123 0.6529
Gd9 0.3310 0.2729 0.7684
Gd10 0.3310 0.7684 0.2729
Gd11 0.3327 0.0175 0.0175
Gd12 0.3345 0.5111 0.5111
Gd13 0.5000 0.1542 0.4093
Gd14 0.5000 0.4093 0.1542
Gd15 0.5000 0.6722 0.9216
Gd16 0.5000 0.9216 0.6722
Gd17 0.6655 0.5111 0.5111
Gd18 0.6673 0.0175 0.0175
Gd19 0.6690 0.2729 0.7684
Gd20 0.6690 0.7684 0.2729
Gd21 0.8308 0.6529 0.9123
Gd22 0.8308 0.9123 0.6529
Gd23 0.8342 0.1716 0.4148
Gd24 0.8342 0.4148 0.1716
Se1 0.0000 0.0890 0.5818
Se2 0.0000 0.3524 0.3524
Se3 0.0000 0.5157 0.7906
Se4 0.0000 0.5818 0.0890
Se5 0.0000 0.7906 0.5157
Se6 0.0000 0.8256 0.8256
Se7 0.1015 0.1639 0.1639
Se8 0.1580 0.3813 0.9229
Se9 0.1580 0.9229 0.3813
Se10 0.1650 0.0895 0.8403
Se11 0.1650 0.8403 0.0895
Se12 0.1668 0.3467 0.5965
Se13 0.1668 0.5965 0.3467
Se14 0.1900 0.6530 0.6530
Se15 0.3148 0.0274 0.2747
Se16 0.3148 0.2747 0.0274
Se17 0.3335 0.0902 0.5874
Se18 0.3335 0.5874 0.0902
Se19 0.3345 0.3338 0.3338
Se20 0.3351 0.8383 0.8383
Se21 0.3480 0.5382 0.7684
Se22 0.3480 0.7684 0.5382
Se23 0.5000 0.1005 0.8464
Se24 0.5000 0.1514 0.1514
Se25 0.5000 0.3416 0.5889
Se26 0.5000 0.4214 0.8858
Se27 0.5000 0.5889 0.3416
Se28 0.5000 0.8464 0.1005
Se29 0.5000 0.8858 0.4214
Se30 0.6520 0.5382 0.7684
Se31 0.6520 0.7684 0.5382
Se32 0.6649 0.8383 0.8383
Se33 0.6655 0.3338 0.3338
Se34 0.6665 0.0902 0.5874
Se35 0.6665 0.5874 0.0902
Se36 0.6852 0.0274 0.2747
Se37 0.6852 0.2747 0.0274
Se38 0.8100 0.6530 0.6530
Se39 0.8332 0.3467 0.5965
Se40 0.8332 0.5965 0.3467
Se41 0.8350 0.0895 0.8403
Se42 0.8350 0.8403 0.0895
Se43 0.8420 0.3813 0.9229
Se44 0.8420 0.9229 0.3813
Se45 0.8985 0.1639 0.1639

# PBE-GGA PrTeNO, relaxed
# offset from the most stable computed form	593	meV/atom
# symmetry	P4/nmm
# M_tot	0.0	μB/cell
data_PrTeNO
_cell_length_a 5.1962
_cell_length_b 5.1962
_cell_length_c 4.9735
_cell_angle_alpha 90.00
_cell_angle_beta 90.00
_cell_angle_gamma 90.00
_symmetry_space_group_name_H-M 'P 1'
_symmetry_Int_Tables_number 1
loop_
_symmetry_equiv_pos_as_xyz
'x,y,z'
loop_
_atom_site_label
_atom_site_fract_x
_atom_site_fract_y
_atom_site_fract_z
Pr1 0.2500 0.7500 0.0000
Pr2 0.7500 0.2500 0.0000
Te1 0.2500 0.2500 0.4925
Te2 0.7500 0.7500 0.5075
N1 0.2500 0.2500 0.8998
N2 0.7500 0.7500 0.1002
O1 0.2500 0.7500 0.5000
O2 0.7500 0.2500 0.5000

# PBE-GGA Nd2GdBi3, relaxed
# symmetry	P-3m1
# energy	-32.0	eV per cell
# M_tot	0.0	μB/cell
data_Nd2GdBi3
_cell_length_a 4.5425
_cell_length_b 4.5425
_cell_length_c 11.1670
_cell_angle_alpha 90.00
_cell_angle_beta 90.00
_cell_angle_gamma 120.00
_symmetry_space_group_name_H-M 'P 1'
_symmetry_Int_Tables_number 1
loop_
_symmetry_equiv_pos_as_xyz
'x,y,z'
loop_
_atom_site_label
_atom_site_fract_x
_atom_site_fract_y
_atom_site_fract_z
Nd1 0.3333 0.6667 0.3306
Nd2 0.6667 0.3333 0.6694
Gd1 0.0000 0.0000 0.0000
Bi1 0.0000 0.0000 0.5000
Bi2 0.3333 0.6667 0.8386
Bi3 0.6667 0.3333 0.1614

# PBE-GGA SmHoO4, relaxed
# symmetry	Cm
# energy	-46.7	eV per cell
# M_tot	0.0	μB/cell
data_SmHoO4
_cell_length_a 3.8860
_cell_length_b 3.8860
_cell_length_c 6.2015
_cell_angle_alpha 95.56
_cell_angle_beta 95.56
_cell_angle_gamma 57.66
_symmetry_space_group_name_H-M 'P 1'
_symmetry_Int_Tables_number 1
loop_
_symmetry_equiv_pos_as_xyz
'x,y,z'
loop_
_atom_site_label
_atom_site_fract_x
_atom_site_fract_y
_atom_site_fract_z
Sm1 0.0000 0.0000 0.0000
Ho1 0.6324 0.6324 0.5410
O1 0.2246 0.2246 0.3370
O2 0.4049 0.4049 0.2232
O3 0.6673 0.6673 0.9094
O4 0.9621 0.9621 0.6186

Number 2 is which compound? Tm2H2BrClO2

M_tot of number 4 (TaAgO2F2)? 0.0 μB/cell

Look up the M_tot of the eighth one. 0.9 μB/cell